# 1
DFT (GGA-PBE) results for a relaxed structure of HfAu3Br.

For the relative energy among the computed polymorphs, the calculation gives 575.8 meV per atom. The calculation puts the energy relative to the elements, uncorrected at 1.18 eV/atom.

The structure belongs to space group Pm-3m (No. 221); the cell edges are 5.0167, 5.0167 and 5.0167 Å and the angles 90.00°, 90.00° and 90.00°. Symmetry generates all atoms from Hf at (0.0000, 0.0000, 0.0000), Au at (0.0000, 0.5000, 0.5000) and Br at (0.5000, 0.5000, 0.5000).

# 2
DFT (GGA-PBE) results for a relaxed structure of ThVI.

The calculation puts the energy relative to the elements, uncorrected at 0.15 eV/atom.

The structure belongs to space group Fdd2 (No. 43); the cell edges are 11.4550, 13.5153 and 8.9213 Å and the angles 90.00°, 90.00° and 90.00°. Symmetry generates all atoms from Th at (0.1032, 0.3147, 0.0000), V at (0.0753, 0.0306, 0.4139) and I at (0.1023, 0.3311, 0.3723).

The records above give, respectively, total magnetization values of 0.8 0.0 μB per formula unit.